The following is a PBE calculation of a relaxed InSnBi crystal, from the Alexandria database.

Cell and atoms, written as CIF:
```
data_InSnBi
_chemical_formula_sum 'In2 Sn2 Bi2'
_cell_length_a 7.587
_cell_length_b 4.300
_cell_length_c 6.505
_cell_angle_alpha 90.00
_cell_angle_beta 112.14
_cell_angle_gamma 90.00
_symmetry_space_group_name_H-M 'C 1 m 1'
_symmetry_Int_Tables_number 8
_symmetry_space_group_name_Hall 'C -2y'
loop_
_atom_site_label
_atom_site_type_symbol
_atom_site_fract_x
_atom_site_fract_y
_atom_site_fract_z
In1 In 0.000 0.000 0.000
Sn1 Sn 0.284 0.500 0.341
Bi1 Bi 0.210 0.000 0.637
```

Calculated values
DFT formation energy = 0.084 eV/atom
Distance to the lowest polymorph of the same formula = 32 meV per atom
Size of the total moment = 0.000 μB/atom
Total energy = -0.25407 Ry per atom

---

The following is a PBE calculation of a relaxed InSn4Bi crystal, from the Alexandria database.

Cell and atoms, written as CIF:
```
data_InSn4Bi
_chemical_formula_sum 'In4 Sn16 Bi4'
_cell_length_a 8.925
_cell_length_b 8.925
_cell_length_c 8.925
_cell_angle_alpha 90.00
_cell_angle_beta 90.00
_cell_angle_gamma 90.00
_symmetry_space_group_name_H-M 'F -4 3 m'
_symmetry_Int_Tables_number 216
_symmetry_space_group_name_Hall 'F -4 2 3'
loop_
_atom_site_label
_atom_site_type_symbol
_atom_site_fract_x
_atom_site_fract_y
_atom_site_fract_z
In1 In 0.000 0.000 0.000
Sn1 Sn 0.125 0.125 0.625
Bi1 Bi 0.250 0.250 0.250
```

Calculated values
DFT formation energy = 0.153 eV/atom
Distance to the lowest polymorph of the same formula = 89 meV per atom
Size of the total moment = 0.000 μB/atom
Total energy = -0.26598 Ry per atom

---

The following is a PBE calculation of a relaxed In6SnBi2 crystal, from the Alexandria database.

Cell and atoms, written as CIF:
```
data_In6SnBi2
_chemical_formula_sum 'In12 Sn2 Bi4'
_cell_length_a 4.244
_cell_length_b 16.000
_cell_length_c 7.971
_cell_angle_alpha 90.00
_cell_angle_beta 90.00
_cell_angle_gamma 90.00
_symmetry_space_group_name_H-M 'A m m 2'
_symmetry_Int_Tables_number 38
_symmetry_space_group_name_Hall 'A 2 -2'
loop_
_atom_site_label
_atom_site_type_symbol
_atom_site_fract_x
_atom_site_fract_y
_atom_site_fract_z
In1 In 0.000 0.000 0.000
In2 In 0.000 0.138 0.620
In3 In 0.500 0.000 0.327
In4 In 0.500 0.202 0.917
Sn1 Sn 0.500 0.000 0.723
Bi1 Bi 0.000 0.162 0.225
```

Calculated values
DFT formation energy = 0.050 eV/atom
Distance to the lowest polymorph of the same formula = 20 meV per atom
Size of the total moment = 0.000 μB/atom
Total energy = -0.22659 Ry per atom

---

The following is a PBE calculation of a relaxed In6Sn5Bi crystal, from the Alexandria database.

Cell and atoms, written as CIF:
```
data_In6Sn5Bi
_chemical_formula_sum 'In12 Sn10 Bi2'
_cell_length_a 9.973
_cell_length_b 15.576
_cell_length_c 4.947
_cell_angle_alpha 90.00
_cell_angle_beta 119.51
_cell_angle_gamma 90.00
_symmetry_space_group_name_H-M 'C 1 2/m 1'
_symmetry_Int_Tables_number 12
_symmetry_space_group_name_Hall '-C 2y'
loop_
_atom_site_label
_atom_site_type_symbol
_atom_site_fract_x
_atom_site_fract_y
_atom_site_fract_z
In1 In 0.242 0.000 0.243
In2 In 0.247 0.168 0.747
Sn1 Sn 0.000 0.000 0.500
Sn2 Sn 0.000 0.170 0.000
Sn3 Sn 0.000 0.334 0.500
Bi1 Bi 0.000 0.500 0.000
```

Calculated values
DFT formation energy = 0.040 eV/atom
Size of the total moment = 0.000 μB/atom
Total energy = -0.24404 Ry per atom

---

The following is a PBE calculation of a relaxed In5Sn2Bi crystal, from the Alexandria database.

Cell and atoms, written as CIF:
```
data_In5Sn2Bi
_chemical_formula_sum 'In10 Sn4 Bi2'
_cell_length_a 6.778
_cell_length_b 13.679
_cell_length_c 4.836
_cell_angle_alpha 90.00
_cell_angle_beta 90.00
_cell_angle_gamma 90.00
_symmetry_space_group_name_H-M 'P b a m'
_symmetry_Int_Tables_number 55
_symmetry_space_group_name_Hall '-P 2 2ab'
loop_
_atom_site_label
_atom_site_type_symbol
_atom_site_fract_x
_atom_site_fract_y
_atom_site_fract_z
In1 In 0.000 0.000 0.000
In2 In 0.014 0.250 0.000
In3 In 0.235 0.875 0.500
Sn1 Sn 0.243 0.627 0.500
Bi1 Bi 0.000 0.500 0.000
```

Calculated values
DFT formation energy = 0.036 eV/atom
Size of the total moment = 0.000 μB/atom
Total energy = -0.23239 Ry per atom

---

The following is a PBE calculation of a relaxed InSn4Bi crystal, from the Alexandria database.

Cell and atoms, written as CIF:
```
data_InSn4Bi
_chemical_formula_sum 'In2 Sn8 Bi2'
_cell_length_a 8.867
_cell_length_b 5.811
_cell_length_c 6.731
_cell_angle_alpha 90.00
_cell_angle_beta 99.63
_cell_angle_gamma 90.00
_symmetry_space_group_name_H-M 'C 1 2/m 1'
_symmetry_Int_Tables_number 12
_symmetry_space_group_name_Hall '-C 2y'
loop_
_atom_site_label
_atom_site_type_symbol
_atom_site_fract_x
_atom_site_fract_y
_atom_site_fract_z
In1 In 0.000 0.000 0.000
Sn1 Sn 0.165 0.500 0.164
Sn2 Sn 0.165 0.500 0.677
Bi1 Bi 0.000 0.000 0.500
```

Calculated values
DFT formation energy = 0.064 eV/atom
Distance to the lowest polymorph of the same formula = 0 meV per atom
Size of the total moment = 0.000 μB/atom
Total energy = -0.27254 Ry per atom

---

The following is a PBE calculation of a relaxed In12Sn3Bi crystal, from the Alexandria database.

Cell and atoms, written as CIF:
```
data_In12Sn3Bi
_chemical_formula_sum 'In12 Sn3 Bi1'
_cell_length_a 5.091
_cell_length_b 5.091
_cell_length_c 17.035
_cell_angle_alpha 90.00
_cell_angle_beta 90.00
_cell_angle_gamma 90.00
_symmetry_space_group_name_H-M 'P 4/m m m'
_symmetry_Int_Tables_number 123
_symmetry_space_group_name_Hall '-P 4 2'
loop_
_atom_site_label
_atom_site_type_symbol
_atom_site_fract_x
_atom_site_fract_y
_atom_site_fract_z
In1 In 0.000 0.000 0.000
In2 In 0.000 0.000 0.248
In3 In 0.000 0.000 0.500
In4 In 0.000 0.500 0.124
In5 In 0.000 0.500 0.370
Sn1 Sn 0.500 0.500 0.000
Sn2 Sn 0.500 0.500 0.245
Bi1 Bi 0.500 0.500 0.500
```

Calculated values
DFT formation energy = 0.021 eV/atom
Size of the total moment = 0.000 μB/atom
Total energy = -0.22242 Ry per atom

---

The following is a PBE calculation of a relaxed In7Sn2Bi3 crystal, from the Alexandria database.

Cell and atoms, written as CIF:
```
data_In7Sn2Bi3
_chemical_formula_sum 'In7 Sn2 Bi3'
_cell_length_a 6.052
_cell_length_b 3.382
_cell_length_c 17.157
_cell_angle_alpha 90.00
_cell_angle_beta 95.10
_cell_angle_gamma 90.00
_symmetry_space_group_name_H-M 'P 1 2/m 1'
_symmetry_Int_Tables_number 10
_symmetry_space_group_name_Hall '-P 2y'
loop_
_atom_site_label
_atom_site_type_symbol
_atom_site_fract_x
_atom_site_fract_y
_atom_site_fract_z
In1 In 0.000 0.000 0.000
In2 In 0.202 0.500 0.164
In3 In 0.250 0.500 0.490
In4 In 0.287 0.000 0.833
Sn1 Sn 0.103 0.500 0.669
Bi1 Bi 0.397 0.000 0.326
Bi2 Bi 0.500 0.500 0.000
```

Calculated values
DFT formation energy = 0.046 eV/atom
Size of the total moment = 0.000 μB/atom
Total energy = -0.23435 Ry per atom